Compound: LiFeF4
Source: Alexandria via LeMat-Bulk
Functional: GGA+U
Structure: relaxed

Output
Spin magnetization (μB/f.u.): 4.997
Space group: P2_1/c (14)
Relative energy among the computed polymorphs (meV/atom): 10

Cell lengths 5.0496, 7.3551, 7.5346 Å; angles 78.15, 90.00, 90.00 degrees
Last column: nearest neighbours and their distance in Å.
Element x y z (fractional)
Li1 0.2492 0.8380 0.8568  4 F 1.95-2.16
Li2 0.2508 0.3380 0.8568  4 F 1.95-2.16
Li3 0.7492 0.6620 0.1432  4 F 1.95-2.16
Li4 0.7508 0.1620 0.1432  4 F 1.95-2.16
Fe1 0.7424 0.6811 0.6835  6 F 1.89-2.02
Fe2 0.7576 0.1811 0.6835  6 F 1.89-2.02
Fe3 0.2424 0.8189 0.3165  6 F 1.89-2.02
Fe4 0.2576 0.3189 0.3165  6 F 1.89-2.02
F1 0.9175 0.6953 0.9058  1 Fe 1.92, 2 Li 1.95-1.97
F2 0.5825 0.1953 0.9058  1 Fe 1.92, 2 Li 1.95-1.97
F3 0.4268 0.5866 0.8038  1 Fe 1.89, 1 Li 2.00
F4 0.0732 0.0866 0.8038  1 Fe 1.89, 1 Li 2.00
F5 0.9057 0.4358 0.6864  2 Fe 1.98-2.02, 1 Li 2.20
F6 0.0641 0.8022 0.5550  2 Fe 1.99-2.00
F7 0.5943 0.9358 0.6864  2 Fe 1.98-2.02, 1 Li 2.20
F8 0.4359 0.3022 0.5550  2 Fe 1.99-2.00
F9 0.5641 0.6978 0.4450  2 Fe 1.99-2.00
F10 0.4057 0.0642 0.3136  2 Fe 1.98-2.02, 1 Li 2.20
F11 0.9359 0.1978 0.4450  2 Fe 1.99-2.00
F12 0.0943 0.5642 0.3136  2 Fe 1.98-2.02, 1 Li 2.20
F13 0.9268 0.9134 0.1962  1 Fe 1.89, 1 Li 2.00
F14 0.5732 0.4134 0.1962  1 Fe 1.89, 1 Li 2.00
F15 0.4175 0.8047 0.0942  1 Fe 1.92, 2 Li 1.95-1.97
F16 0.0825 0.3047 0.0942  1 Fe 1.92, 2 Li 1.95-1.97